Record 1
# Sr2CdIn, optimized geometry, DFT PBE
# Excess energy over the best structure of this formula in the dataset = 2 kJ/mol of formula units
data_Sr2CdIn
_chemical_formula_sum 'Sr2 Cd1 In1'
_cell_length_a 5.697
_cell_length_b 5.697
_cell_length_c 4.057
_cell_angle_alpha 90.00
_cell_angle_beta 90.00
_cell_angle_gamma 90.00
_space_group_name_H-M_alt 'P 1'
_space_group_IT_number 1
_space_group_name_Hall 'P 1'
loop_
_atom_site_label
_atom_site_type_symbol
_atom_site_fract_x
_atom_site_fract_y
_atom_site_fract_z
Cd1 Cd 0.500 0.500 0.000
In1 In 0.000 0.000 0.000
Sr1 Sr 0.500 0.000 0.500
Sr2 Sr 0.000 0.500 0.500

---

Record 2
# Sr2CdIn, optimized geometry, DFT PBE
# Excess energy over the best structure of this formula in the dataset = 1 kJ/mol of formula units
data_Sr2CdIn
_chemical_formula_sum 'Sr8 Cd4 In4'
_cell_length_a 8.026
_cell_length_b 8.167
_cell_length_c 8.056
_cell_angle_alpha 90.00
_cell_angle_beta 89.99
_cell_angle_gamma 90.00
_space_group_name_H-M_alt 'P 1'
_space_group_IT_number 1
_space_group_name_Hall 'P 1'
loop_
_atom_site_label
_atom_site_type_symbol
_atom_site_fract_x
_atom_site_fract_y
_atom_site_fract_z
Cd1 Cd 0.757 0.250 0.000
Cd2 Cd 0.243 0.750 0.000
Cd3 Cd 0.743 0.250 0.500
Cd4 Cd 0.257 0.750 0.500
In1 In 0.755 0.750 0.000
In2 In 0.745 0.750 0.500
In3 In 0.255 0.250 0.500
In4 In 0.245 0.250 0.000
Sr1 Sr 0.500 0.500 0.247
Sr2 Sr 0.500 0.000 0.247
Sr3 Sr 0.000 0.500 0.253
Sr4 Sr 0.000 0.000 0.253
Sr5 Sr 0.000 0.000 0.747
Sr6 Sr 0.000 0.500 0.747
Sr7 Sr 0.500 0.500 0.753
Sr8 Sr 0.500 0.000 0.753

---

Record 3
# Sr2CdIn, optimized geometry, DFT PBE
# Excess energy over the best structure of this formula in the dataset = 0 kJ/mol of formula units
data_Sr2CdIn
_chemical_formula_sum 'Sr12 Cd6 In6'
_cell_length_a 5.725
_cell_length_b 8.110
_cell_length_c 17.185
_cell_angle_alpha 90.00
_cell_angle_beta 89.99
_cell_angle_gamma 90.00
_space_group_name_H-M_alt 'P 1'
_space_group_IT_number 1
_space_group_name_Hall 'P 1'
loop_
_atom_site_label
_atom_site_type_symbol
_atom_site_fract_x
_atom_site_fract_y
_atom_site_fract_z
Cd1 Cd 0.000 0.500 0.000
Cd2 Cd 0.500 0.000 0.167
Cd3 Cd 0.000 0.500 0.333
Cd4 Cd 0.500 0.000 0.500
Cd5 Cd 0.000 0.500 0.667
Cd6 Cd 0.500 0.000 0.833
In1 In 0.000 0.000 0.000
In2 In 0.500 0.500 0.167
In3 In 0.000 0.000 0.333
In4 In 0.500 0.500 0.500
In5 In 0.000 0.000 0.667
In6 In 0.500 0.500 0.833
Sr1 Sr 0.500 0.250 0.000
Sr2 Sr 0.500 0.750 0.000
Sr3 Sr 0.000 0.250 0.167
Sr4 Sr 0.000 0.750 0.167
Sr5 Sr 0.500 0.250 0.333
Sr6 Sr 0.500 0.750 0.333
Sr7 Sr 0.000 0.250 0.500
Sr8 Sr 0.000 0.750 0.500
Sr9 Sr 0.500 0.250 0.667
Sr10 Sr 0.500 0.750 0.667
Sr11 Sr 0.000 0.250 0.833
Sr12 Sr 0.000 0.750 0.833

---

Record 4
# Ta2CdIn, optimized geometry, DFT PBE
# Total energy = -25.20 eV per cell
data_Ta2CdIn
_chemical_formula_sum 'Ta2 Cd1 In1'
_cell_length_a 4.816
_cell_length_b 4.816
_cell_length_c 4.816
_cell_angle_alpha 60.00
_cell_angle_beta 60.00
_cell_angle_gamma 60.00
_space_group_name_H-M_alt 'P 1'
_space_group_IT_number 1
_space_group_name_Hall 'P 1'
loop_
_atom_site_label
_atom_site_type_symbol
_atom_site_fract_x
_atom_site_fract_y
_atom_site_fract_z
Cd1 Cd 0.250 0.250 0.250
In1 In 0.500 0.500 0.500
Ta1 Ta 0.000 0.000 0.000
Ta2 Ta 0.750 0.750 0.750

---

Record 5
# TaCdIn, optimized geometry, DFT PBE
# Total energy = -12.96 eV per cell
data_TaCdIn
_chemical_formula_sum 'Ta1 Cd1 In1'
_cell_length_a 4.712
_cell_length_b 4.712
_cell_length_c 4.712
_cell_angle_alpha 60.00
_cell_angle_beta 60.00
_cell_angle_gamma 60.00
_space_group_name_H-M_alt 'P 1'
_space_group_IT_number 1
_space_group_name_Hall 'P 1'
loop_
_atom_site_label
_atom_site_type_symbol
_atom_site_fract_x
_atom_site_fract_y
_atom_site_fract_z
Cd1 Cd 0.250 0.250 0.250
In1 In 0.750 0.750 0.750
Ta1 Ta 0.000 0.000 0.000

---

Record 6
# Tb3Cd4In2, optimized geometry, DFT PBE
# Total energy = -26.49 eV per cell
data_Tb3Cd4In2
_chemical_formula_sum 'Tb3 Cd4 In2'
_cell_length_a 6.062
_cell_length_b 6.062
_cell_length_c 9.302
_cell_angle_alpha 115.56
_cell_angle_beta 115.56
_cell_angle_gamma 48.06
_space_group_name_H-M_alt 'P 1'
_space_group_IT_number 1
_space_group_name_Hall 'P 1'
loop_
_atom_site_label
_atom_site_type_symbol
_atom_site_fract_x
_atom_site_fract_y
_atom_site_fract_z
Cd1 Cd 0.707 0.707 0.036
Cd2 Cd 0.074 0.074 0.410
Cd3 Cd 0.926 0.926 0.590
Cd4 Cd 0.293 0.293 0.964
In1 In 0.609 0.609 0.274
In2 In 0.391 0.391 0.726
Tb1 Tb 0.000 0.000 0.000
Tb2 Tb 0.334 0.334 0.330
Tb3 Tb 0.666 0.666 0.670

---

Record 7
# Tb2TmCd3In3, optimized geometry, DFT PBE
# Total energy = -28.23 eV per cell
data_Tb2TmCd3In3
_chemical_formula_sum 'Tb2 Tm1 Cd3 In3'
_cell_length_a 4.620
_cell_length_b 7.482
_cell_length_c 7.482
_cell_angle_alpha 119.70
_cell_angle_beta 90.00
_cell_angle_gamma 90.00
_space_group_name_H-M_alt 'P 1'
_space_group_IT_number 1
_space_group_name_Hall 'P 1'
loop_
_atom_site_label
_atom_site_type_symbol
_atom_site_fract_x
_atom_site_fract_y
_atom_site_fract_z
Cd1 Cd 0.500 0.754 0.000
Cd2 Cd 0.500 0.246 0.246
Cd3 Cd 0.500 0.000 0.754
In1 In 0.500 0.666 0.335
In2 In 0.500 0.335 0.666
In3 In 0.000 0.998 0.998
Tb1 Tb 0.000 0.434 0.001
Tb2 Tb 0.000 0.001 0.434
Tm1 Tm 0.000 0.566 0.566

---

Record 8
# CdInTc2, optimized geometry, DFT PBE
# Total energy = -22.62 eV per cell
data_CdInTc2
_chemical_formula_sum 'Cd1 In1 Tc2'
_cell_length_a 4.602
_cell_length_b 4.602
_cell_length_c 4.602
_cell_angle_alpha 60.00
_cell_angle_beta 60.00
_cell_angle_gamma 60.00
_space_group_name_H-M_alt 'P 1'
_space_group_IT_number 1
_space_group_name_Hall 'P 1'
loop_
_atom_site_label
_atom_site_type_symbol
_atom_site_fract_x
_atom_site_fract_y
_atom_site_fract_z
Cd1 Cd 0.250 0.250 0.250
In1 In 0.500 0.500 0.500
Tc1 Tc 0.000 0.000 0.000
Tc2 Tc 0.750 0.750 0.750

---

Record 9
# CdInTe, optimized geometry, DFT PBE
# Excess energy over the best structure of this formula in the dataset = 0 kJ/mol of formula units
data_CdInTe
_chemical_formula_sum 'Cd4 In4 Te4'
_cell_length_a 6.783
_cell_length_b 4.092
_cell_length_c 12.532
_cell_angle_alpha 90.00
_cell_angle_beta 90.00
_cell_angle_gamma 90.00
_space_group_name_H-M_alt 'P 1'
_space_group_IT_number 1
_space_group_name_Hall 'P 1'
loop_
_atom_site_label
_atom_site_type_symbol
_atom_site_fract_x
_atom_site_fract_y
_atom_site_fract_z
Cd1 Cd 0.475 0.750 0.190
Cd2 Cd 0.975 0.750 0.310
Cd3 Cd 0.025 0.250 0.690
Cd4 Cd 0.525 0.250 0.810
In1 In 0.278 0.250 0.039
In2 In 0.778 0.250 0.461
In3 In 0.222 0.750 0.539
In4 In 0.722 0.750 0.961
Te1 Te 0.856 0.250 0.140
Te2 Te 0.356 0.250 0.360
Te3 Te 0.644 0.750 0.640
Te4 Te 0.144 0.750 0.860

---

Record 10
# CdInTe, optimized geometry, DFT PBE
# Excess energy over the best structure of this formula in the dataset = 28 kJ/mol of formula units
data_CdInTe
_chemical_formula_sum 'Cd1 In1 Te1'
_cell_length_a 5.134
_cell_length_b 5.134
_cell_length_c 5.134
_cell_angle_alpha 60.00
_cell_angle_beta 60.00
_cell_angle_gamma 60.00
_space_group_name_H-M_alt 'P 1'
_space_group_IT_number 1
_space_group_name_Hall 'P 1'
loop_
_atom_site_label
_atom_site_type_symbol
_atom_site_fract_x
_atom_site_fract_y
_atom_site_fract_z
Cd1 Cd 0.000 0.000 0.000
In1 In 0.250 0.250 0.250
Te1 Te 0.750 0.750 0.750

---

Repeat the sixth record exactly.
# Tb3Cd4In2, optimized geometry, DFT PBE
# Total energy = -26.49 eV per cell
data_Tb3Cd4In2
_chemical_formula_sum 'Tb3 Cd4 In2'
_cell_length_a 6.062
_cell_length_b 6.062
_cell_length_c 9.302
_cell_angle_alpha 115.56
_cell_angle_beta 115.56
_cell_angle_gamma 48.06
_space_group_name_H-M_alt 'P 1'
_space_group_IT_number 1
_space_group_name_Hall 'P 1'
loop_
_atom_site_label
_atom_site_type_symbol
_atom_site_fract_x
_atom_site_fract_y
_atom_site_fract_z
Cd1 Cd 0.707 0.707 0.036
Cd2 Cd 0.074 0.074 0.410
Cd3 Cd 0.926 0.926 0.590
Cd4 Cd 0.293 0.293 0.964
In1 In 0.609 0.609 0.274
In2 In 0.391 0.391 0.726
Tb1 Tb 0.000 0.000 0.000
Tb2 Tb 0.334 0.334 0.330
Tb3 Tb 0.666 0.666 0.670